No. 1
A geometry-optimized Pr4HoEr3Te8 structure. Source: Alexandria via LeMat-Bulk, functional PBE.

Geometry as CIF:
```
data_Pr4HoEr3Te8
_chemical_formula_sum 'Pr12 Ho3 Er9 Te24'
_symmetry_space_group_name_H-M 'R -3 m'
_symmetry_Int_Tables_number 166
_symmetry_space_group_name_Hall '-R 3 2"'
_cell_length_a 8.7083
_cell_length_b 8.7083
_cell_length_c 22.4433
_cell_angle_alpha 90.00
_cell_angle_beta 90.00
_cell_angle_gamma 120.00
loop_
_atom_site_label
_atom_site_fract_x
_atom_site_fract_y
_atom_site_fract_z
_atom_site_occupancy
Pr1 0.0000 0.0000 0.0000 1
Pr2 0.0000 0.5000 0.0000 1
Ho1 0.0000 0.0000 0.5000 1
Er1 0.0000 0.5000 0.5000 1
Te1 0.0000 0.0000 0.2438 1
Te2 0.0008 0.5004 0.7560 1
```

**Raw total energy**: -5.245 eV/atom
**Uncorrected formation energy**: -1337 meV/atom


No. 2
A geometry-optimized Ce6P2C3Cl structure. Source: Alexandria via LeMat-Bulk, functional PBE.

Geometry as CIF:
```
data_Ce6P2C3Cl
_chemical_formula_sum 'Ce12 P4 C6 Cl2'
_symmetry_space_group_name_H-M 'C 1 2/m 1'
_symmetry_Int_Tables_number 12
_cell_length_a 17.057
_cell_length_b 3.826
_cell_length_c 7.869
_cell_angle_alpha 90.00
_cell_angle_beta 105.59
_cell_angle_gamma 90.00
loop_
_symmetry_equiv_pos_as_xyz
'x,y,z'
'-x,-y,-z'
'-x,y,-z'
'x,-y,z'
'x+1/2,y+1/2,z'
'-x+1/2,-y+1/2,-z'
'-x+1/2,y+1/2,-z'
'x+1/2,-y+1/2,z'
loop_
_atom_site_label
_atom_site_fract_x
_atom_site_fract_y
_atom_site_fract_z
_atom_site_occupancy
Ce1 0.009 0.000 0.224 1
Ce2 0.161 0.500 0.098 1
Ce3 0.175 0.500 0.565 1
P1 0.165 0.000 0.830 1
C1 0.000 0.500 0.000 1
C2 0.166 0.000 0.338 1
Cl1 0.000 0.500 0.500 1
```

**Raw total energy**: -7.170 eV/atom
**Uncorrected formation energy**: -841 meV/atom


No. 3
A geometry-optimized LiPaN2 structure. Source: Alexandria via LeMat-Bulk, functional PBE.

Geometry as CIF:
```
data_LiPaN2
_chemical_formula_sum 'Li4 Pa4 N8'
_symmetry_space_group_name_H-M 'I 41/a m d'
_symmetry_Int_Tables_number 141
_cell_length_a 4.428
_cell_length_b 4.428
_cell_length_c 11.462
_cell_angle_alpha 90.00
_cell_angle_beta 90.00
_cell_angle_gamma 90.00
loop_
_symmetry_equiv_pos_as_xyz
'x,y,z'
'-x,-y,-z'
'-y+1/4,x+3/4,z+1/4'
'y+1/4,-x+3/4,-z+1/4'
'-x+1/2,-y,z+1/2'
'x+1/2,y,-z+1/2'
'y+1/4,-x+1/4,z+3/4'
'-y+1/4,x+1/4,-z+3/4'
'x,-y,-z'
'-x,y,z'
'-y+1/4,-x+1/4,-z+3/4'
'y+1/4,x+1/4,z+3/4'
'-x+1/2,y,-z+1/2'
'x+1/2,-y,z+1/2'
'y+1/4,x+3/4,-z+1/4'
'-y+1/4,-x+3/4,z+1/4'
'x+1/2,y+1/2,z+1/2'
'-x+1/2,-y+1/2,-z+1/2'
'-y+3/4,x+1/4,z+3/4'
'y+3/4,-x+1/4,-z+3/4'
'-x,-y+1/2,z'
'x,y+1/2,-z'
'y+3/4,-x+3/4,z+1/4'
'-y+3/4,x+3/4,-z+1/4'
'x+1/2,-y+1/2,-z+1/2'
'-x+1/2,y+1/2,z+1/2'
'-y+3/4,-x+3/4,-z+1/4'
'y+3/4,x+3/4,z+1/4'
'-x,y+1/2,-z'
'x,-y+1/2,z'
'y+3/4,x+1/4,-z+3/4'
'-y+3/4,-x+1/4,z+3/4'
loop_
_atom_site_label
_atom_site_fract_x
_atom_site_fract_y
_atom_site_fract_z
_atom_site_occupancy
Li1 0.000 0.250 0.375 1
Pa1 0.000 0.250 0.875 1
N1 0.000 0.250 0.081 1
```

**Energy relative to the lowest polymorph listed for this composition**: 0.0 kJ/mol of atoms
**Raw total energy**: -8.448 eV/atom
**Uncorrected formation energy**: -1433 meV/atom


No. 4
A geometry-optimized AcLaAgAs structure. Source: Alexandria via LeMat-Bulk, functional PBE.

Geometry as CIF:
```
data_AcLaAgAs
_chemical_formula_sum 'Ac4 La4 Ag4 As4'
_symmetry_space_group_name_H-M 'F -4 3 m'
_symmetry_Int_Tables_number 216
_symmetry_space_group_name_Hall 'F -4 2 3'
_cell_length_a 7.666
_cell_length_b 7.666
_cell_length_c 7.666
_cell_angle_alpha 90.00
_cell_angle_beta 90.00
_cell_angle_gamma 90.00
loop_
_atom_site_label
_atom_site_fract_x
_atom_site_fract_y
_atom_site_fract_z
_atom_site_occupancy
Ac1 0.000 0.000 0.000 1
La1 0.000 0.000 0.500 1
Ag1 0.250 0.250 0.250 1
As1 0.250 0.250 0.750 1
```

**Raw total energy**: -4.789 eV/atom
**Formation enthalpy at 0 K**: -0.6548 eV per atom


No. 5
A geometry-optimized HoTm8Sb2 structure. Source: Alexandria via LeMat-Bulk, functional PBE.

Geometry as CIF:
```
data_HoTm8Sb2
_chemical_formula_sum 'Ho2 Tm16 Sb4'
_symmetry_space_group_name_H-M 'C 1 2/m 1'
_symmetry_Int_Tables_number 12
_cell_length_a 14.731
_cell_length_b 8.651
_cell_length_c 6.044
_cell_angle_alpha 90.00
_cell_angle_beta 110.79
_cell_angle_gamma 90.00
loop_
_symmetry_equiv_pos_as_xyz
'x,y,z'
'-x,-y,-z'
'-x,y,-z'
'x,-y,z'
'x+1/2,y+1/2,z'
'-x+1/2,-y+1/2,-z'
'-x+1/2,y+1/2,-z'
'x+1/2,-y+1/2,z'
loop_
_atom_site_label
_atom_site_fract_x
_atom_site_fract_y
_atom_site_fract_z
_atom_site_occupancy
Ho1 0.000 0.000 0.000 1
Tm1 0.090 0.500 0.764 1
Tm2 0.118 0.312 0.275 1
Tm3 0.179 0.000 0.807 1
Sb1 0.219 0.000 0.348 1
```

**Raw total energy**: -4.475 eV/atom
**Uncorrected formation energy**: -58 meV/atom


No. 6
A geometry-optimized U2ZnGe2Ru5 structure. Source: Alexandria via LeMat-Bulk, functional PBE.

Geometry as CIF:
```
data_U2ZnGe2Ru5
_chemical_formula_sum 'U4 Zn2 Ge4 Ru10'
_symmetry_space_group_name_H-M 'P 4/m b m'
_symmetry_Int_Tables_number 127
_symmetry_space_group_name_Hall '-P 4 2ab'
_cell_length_a 9.696
_cell_length_b 9.696
_cell_length_c 3.547
_cell_angle_alpha 90.00
_cell_angle_beta 90.00
_cell_angle_gamma 90.00
loop_
_atom_site_label
_atom_site_fract_x
_atom_site_fract_y
_atom_site_fract_z
_atom_site_occupancy
U1 0.175 0.325 0.000 1
Zn1 0.000 0.000 0.000 1
Ge1 0.125 0.625 0.000 1
Ru1 0.000 0.500 0.500 1
Ru2 0.089 0.802 0.500 1
```

**Raw total energy**: -8.145 eV/atom
**Formation enthalpy at 0 K**: -0.1986 eV per atom